A plane-wave DFT calculation with GGA-PBE was carried out for an optimized crystal structure of ErAg2Te3.

Properties
Energy relative to the elements, uncorrected, eV/atom: -0.57
Volume, Å³/cell: 726.1
Total magnetic moment, μB per cell: 0.00
Mass density, g/cm3: 7.01
Polymorph energy (0 for the lowest one), eV/f.u.: 0.00

a b c (Å): 22.0284 4.2650 7.7539
angles (deg): 90.00 94.68 90.00
Space group C2/m (No. 12)
Unique sites:
Er 0.1513 0.0000 0.0492 (multiplicity 4)
Ag 0.0421 0.5000 0.1595 (multiplicity 4)
Ag 0.2061 0.0000 0.4416 (multiplicity 4)
Te 0.0805 0.0000 0.3737 (multiplicity 4)
Te 0.0879 0.5000 0.8274 (multiplicity 4)
Te 0.2456 0.5000 0.2102 (multiplicity 4)